[1]
{
  "formula": "NbCrGa2Te",
  "functional": "GGA-PBE",
  "state": "relaxed",
  "cell": [[-1.329, 0.017, 4.981], [4.080, -1.448, 1.094], [1.619, 4.877, 0.415]],
  "species": ["Te", "Cr", "Nb", "Ga", "Ga"],
  "fractional_positions": [[0.500, 0.500, 0.500], [0.000, 0.500, 0.000], [0.000, 0.000, 0.000], [0.500, 0.000, 0.000], [0.000, 0.000, 0.500]],
  "formation_energy_uncorrected_ev_per_atom": 0.925,
  "m_tot_mub_per_fu": 0.02
}

[2]
{
  "formula": "TiNbCrGa",
  "functional": "GGA-PBE",
  "state": "relaxed",
  "cell": [[4.428, 0.000, 0.000], [2.214, 3.835, 0.000], [2.214, 1.278, 3.616]],
  "species": ["Ga", "Cr", "Ti", "Nb"],
  "fractional_positions": [[0.250, 0.250, 0.250], [0.750, 0.750, 0.750], [0.000, 0.000, 0.000], [0.500, 0.500, 0.500]],
  "m_tot_mub_per_fu": 0.00,
  "formation_enthalpy_0k_ev_per_atom": -0.142
}

[3]
{
  "formula": "NbVCrGa",
  "functional": "GGA-PBE",
  "state": "relaxed",
  "cell": [[4.360, 0.000, 0.000], [2.180, 3.776, 0.000], [2.180, 1.259, 3.560]],
  "species": ["V", "Ga", "Nb", "Cr"],
  "fractional_positions": [[0.500, 0.500, 0.500], [0.250, 0.250, 0.250], [0.750, 0.750, 0.750], [0.000, 0.000, 0.000]],
  "m_tot_mub_per_fu": 0.59,
  "formation_enthalpy_0k_ev_per_atom": -0.037
}

[4]
{
  "formula": "NbV2CrGa",
  "functional": "GGA-PBE",
  "state": "relaxed",
  "cell": [[-1.862, -1.677, -3.728], [3.979, -0.882, -1.591], [-0.141, -4.068, 1.901]],
  "species": ["Ga", "Nb", "V", "V", "Cr"],
  "fractional_positions": [[0.000, 0.000, 0.000], [0.500, 0.500, 0.500], [0.000, 0.000, 0.500], [0.500, 0.000, 0.000], [0.000, 0.500, 0.000]],
  "m_tot_mub_per_fu": 1.17,
  "formation_enthalpy_0k_ev_per_atom": 1.175
}

[5]
{
  "formula": "NbZnCr2Ga",
  "functional": "GGA-PBE",
  "state": "relaxed",
  "cell": [[-1.819, -0.159, 4.170], [0.730, -4.815, 0.134], [4.117, 0.675, 1.822]],
  "species": ["Nb", "Cr", "Cr", "Zn", "Ga"],
  "fractional_positions": [[0.000, 0.500, 0.000], [0.500, 0.000, 0.000], [0.000, 0.000, 0.500], [0.500, 0.500, 0.500], [0.000, 0.000, 0.000]],
  "m_tot_mub_per_fu": 5.27,
  "formation_enthalpy_0k_ev_per_atom": 1.161
}

[6]
{
  "formula": "NdCrGa4",
  "functional": "GGA-PBE",
  "state": "relaxed",
  "cell": [[4.280, 0.000, 0.003], [0.000, 6.522, 0.000], [-2.149, 0.000, 8.210]],
  "species": ["Ga", "Ga", "Ga", "Ga", "Ga", "Ga", "Ga", "Ga", "Cr", "Cr", "Nd", "Nd"],
  "fractional_positions": [[0.573, 0.750, 0.147], [0.820, 0.052, 0.643], [0.000, 0.500, 0.000], [0.000, 0.000, 0.000], [0.180, 0.948, 0.357], [0.180, 0.552, 0.357], [0.820, 0.448, 0.643], [0.427, 0.250, 0.853], [0.727, 0.750, 0.452], [0.273, 0.250, 0.548], [0.613, 0.250, 0.225], [0.387, 0.750, 0.775]],
  "m_tot_mub_per_fu": 2.78,
  "formation_enthalpy_0k_ev_per_atom": -0.307
}

[7]
{
  "formula": "Nd2CrGa3Pt4",
  "functional": "GGA-PBE",
  "state": "relaxed",
  "cell": [[-2.627, -2.684, -1.770], [2.638, -3.106, 0.796], [-4.944, -1.669, 9.872]],
  "species": ["Ga", "Ga", "Ga", "Pt", "Pt", "Pt", "Pt", "Cr", "Nd", "Nd"],
  "fractional_positions": [[0.000, 0.500, 0.132], [0.000, 0.000, 0.500], [0.500, 0.000, 0.868], [0.000, 0.000, 0.000], [0.500, 0.000, 0.643], [0.500, 0.500, 0.000], [0.000, 0.500, 0.357], [0.500, 0.500, 0.500], [0.500, 0.000, 0.248], [0.000, 0.500, 0.752]],
  "m_tot_mub_per_fu": 3.43,
  "formation_enthalpy_0k_ev_per_atom": -0.821
}

[8]
{
  "formula": "CrGa2Ni",
  "functional": "GGA-PBE",
  "state": "relaxed",
  "cell": [[-1.927, -2.096, 1.530], [2.463, -3.007, -1.017], [2.084, 0.560, 3.389]],
  "species": ["Ni", "Ga", "Ga", "Cr"],
  "fractional_positions": [[0.500, 0.000, 0.000], [0.000, 0.500, 0.000], [0.000, 0.000, 0.500], [0.500, 0.500, 0.500]],
  "m_tot_mub_per_fu": 1.76,
  "formation_enthalpy_0k_ev_per_atom": -0.151
}

[9]
{
  "formula": "CrGaNi2",
  "functional": "GGA-PBE",
  "state": "relaxed",
  "cell": [[-4.921, 1.845, -2.455], [-1.727, -5.497, -0.670], [-2.540, 0.163, 5.213]],
  "species": ["Ni", "Ni", "Ni", "Ni", "Ni", "Ni", "Ni", "Ni", "Ga", "Ga", "Ga", "Ga", "Cr", "Cr", "Cr", "Cr"],
  "fractional_positions": [[0.500, 0.500, 0.000], [0.000, 0.500, 0.500], [0.250, 0.750, 0.250], [0.000, 0.000, 0.000], [0.250, 0.250, 0.750], [0.750, 0.750, 0.750], [0.500, 0.000, 0.500], [0.750, 0.250, 0.250], [0.750, 0.750, 0.250], [0.750, 0.250, 0.750], [0.250, 0.750, 0.750], [0.250, 0.250, 0.250], [0.500, 0.000, 0.000], [0.000, 0.500, 0.000], [0.000, 0.000, 0.500], [0.500, 0.500, 0.500]],
  "m_tot_mub_per_fu": 2.38,
  "formation_enthalpy_0k_ev_per_atom": -0.050
}

[10]
{
  "formula": "Cr3GaNi",
  "functional": "GGA-PBE",
  "state": "relaxed",
  "cell": [[-3.764, 1.695, 0.944], [-1.004, 0.062, -4.113], [-1.660, -3.880, 0.347]],
  "species": ["Cr", "Cr", "Cr", "Ni", "Ga"],
  "fractional_positions": [[0.000, 0.500, 0.000], [0.000, 0.000, 0.500], [0.500, 0.000, 0.000], [0.000, 0.000, 0.000], [0.500, 0.500, 0.500]],
  "e_above_lowest_polymorph_ev_per_atom": 0.000,
  "m_tot_mub_per_fu": 0.00,
  "formation_enthalpy_0k_ev_per_atom": 1.232
}

[11]
{
  "formula": "Cr2GaNi2",
  "functional": "GGA-PBE",
  "state": "relaxed",
  "cell": [[-5.859, -0.670, -3.168], [-0.317, -6.399, 1.940], [-1.375, 0.789, 2.376]],
  "species": ["Cr", "Cr", "Cr", "Cr", "Ga", "Ga", "Ni", "Ni", "Ni", "Ni"],
  "fractional_positions": [[0.332, 0.168, 0.500], [0.832, 0.332, 0.500], [0.668, 0.832, 0.500], [0.168, 0.668, 0.500], [0.500, 0.500, 0.000], [0.000, 0.000, 0.000], [0.372, 0.872, 0.000], [0.628, 0.128, 0.000], [0.872, 0.628, 0.000], [0.128, 0.372, 0.000]],
  "m_tot_mub_per_fu": 4.59,
  "formation_enthalpy_0k_ev_per_atom": 0.160
}

[12]
{
  "formula": "Cr2GaNi8",
  "functional": "GGA-PBE",
  "state": "relaxed",
  "cell": [[-1.790, -0.850, -3.868], [2.277, -3.329, -5.073], [-1.346, -6.854, -0.246]],
  "species": ["Ni", "Ni", "Ni", "Ni", "Ni", "Ni", "Ni", "Ni", "Cr", "Cr", "Ga"],
  "fractional_positions": [[0.765, 0.382, 0.721], [0.500, 0.192, 0.616], [0.728, 0.525, 0.000], [0.272, 0.475, 0.000], [0.235, 0.618, 0.279], [0.765, 0.103, 0.279], [0.500, 0.808, 0.384], [0.235, 0.897, 0.721], [0.000, 0.316, 0.367], [0.000, 0.684, 0.633], [0.500, 0.000, 0.000]],
  "e_above_lowest_polymorph_ev_per_atom": 0.120,
  "m_tot_mub_per_fu": 3.97,
  "formation_enthalpy_0k_ev_per_atom": 0.113
}

[13]
{
  "formula": "CrGaNi6",
  "functional": "GGA-PBE",
  "state": "relaxed",
  "cell": [[-0.402, -1.045, -3.379], [1.540, -3.113, 0.780], [-6.361, -2.745, 1.605]],
  "species": ["Ni", "Ni", "Ni", "Ni", "Ni", "Ni", "Cr", "Ga"],
  "fractional_positions": [[0.500, 0.000, 0.257], [0.000, 0.500, 0.743], [0.500, 0.500, 0.000], [0.500, 0.500, 0.500], [0.500, 0.000, 0.743], [0.000, 0.500, 0.257], [0.000, 0.000, 0.500], [0.000, 0.000, 0.000]],
  "m_tot_mub_per_fu": 1.29,
  "formation_enthalpy_0k_ev_per_atom": -0.167
}

[14]
{
  "formula": "Cr2GaNi8",
  "functional": "GGA-PBE",
  "state": "relaxed",
  "cell": [[3.752, -0.006, -1.138], [-0.780, 5.467, -2.537], [-0.092, -0.612, 6.438]],
  "species": ["Ni", "Ni", "Ni", "Ni", "Ni", "Ni", "Ni", "Ni", "Cr", "Cr", "Ga"],
  "fractional_positions": [[0.155, 0.102, 0.309], [0.967, 0.658, 0.936], [0.677, 0.450, 0.353], [0.845, 0.898, 0.691], [0.033, 0.342, 0.064], [0.323, 0.550, 0.647], [0.390, 0.227, 0.778], [0.610, 0.773, 0.222], [0.791, 0.236, 0.581], [0.209, 0.764, 0.419], [0.500, 0.000, 0.000]],
  "e_above_lowest_polymorph_ev_per_atom": 0.000,
  "m_tot_mub_per_fu": 0.00,
  "formation_enthalpy_0k_ev_per_atom": -0.007
}

[15]
{
  "formula": "Cr4GaNi15",
  "functional": "GGA-PBE",
  "state": "relaxed",
  "cell": [[-2.128, -1.278, 2.533], [-1.322, -2.356, -2.299], [12.567, -11.632, 4.692]],
  "species": ["Cr", "Cr", "Cr", "Cr", "Ni", "Ni", "Ni", "Ni", "Ni", "Ni", "Ni", "Ni", "Ni", "Ni", "Ni", "Ni", "Ni", "Ni", "Ni", "Ga"],
  "fractional_positions": [[0.000, 0.000, 0.599], [0.000, 0.000, 0.401], [0.000, 0.000, 0.200], [0.000, 0.000, 0.800], [0.500, 0.500, 0.000], [0.500, 0.000, 0.700], [0.000, 0.500, 0.700], [0.500, 0.500, 0.600], [0.500, 0.000, 0.897], [0.500, 0.000, 0.103], [0.500, 0.000, 0.500], [0.000, 0.500, 0.300], [0.500, 0.000, 0.300], [0.000, 0.500, 0.897], [0.000, 0.500, 0.500], [0.500, 0.500, 0.799], [0.000, 0.500, 0.103], [0.500, 0.500, 0.400], [0.500, 0.500, 0.201], [0.000, 0.000, 0.000]],
  "m_tot_mub_per_fu": 7.92,
  "formation_enthalpy_0k_ev_per_atom": -0.071
}

[16]
{
  "formula": "CrGaNi2",
  "functional": "GGA-PBE",
  "state": "relaxed",
  "cell": [[-2.501, 0.590, -0.326], [-0.390, -2.290, -1.145], [-1.490, -2.866, 6.237]],
  "species": ["Cr", "Ni", "Ni", "Ga"],
  "fractional_positions": [[0.500, 0.500, 0.000], [0.000, 0.000, 0.246], [0.000, 0.000, 0.754], [0.500, 0.500, 0.500]],
  "m_tot_mub_per_fu": 0.52,
  "formation_enthalpy_0k_ev_per_atom": -0.106
}

[17]
{
  "formula": "Cr2GaNi2",
  "functional": "GGA-PBE",
  "state": "relaxed",
  "cell": [[6.974, 0.000, 0.000], [0.000, 6.974, 0.000], [0.000, 0.000, 2.612]],
  "species": ["Cr", "Cr", "Cr", "Cr", "Ga", "Ga", "Ni", "Ni", "Ni", "Ni"],
  "fractional_positions": [[0.103, 0.397, 0.000], [0.897, 0.603, 0.000], [0.397, 0.897, 0.000], [0.603, 0.103, 0.000], [0.000, 0.000, 0.000], [0.500, 0.500, 0.000], [0.187, 0.687, 0.500], [0.687, 0.813, 0.500], [0.313, 0.187, 0.500], [0.813, 0.313, 0.500]],
  "m_tot_mub_per_fu": 0.00,
  "formation_enthalpy_0k_ev_per_atom": 0.255
}

[18]
{
  "formula": "CrGa2Ni",
  "functional": "GGA-PBE",
  "state": "relaxed",
  "cell": [[-0.439, -1.518, -2.425], [1.749, -2.084, 0.988], [-4.919, -2.857, 2.679]],
  "species": ["Cr", "Ga", "Ga", "Ni"],
  "fractional_positions": [[0.500, 0.500, 0.500], [0.000, 0.000, 0.763], [0.000, 0.000, 0.237], [0.500, 0.500, 0.000]],
  "m_tot_mub_per_fu": 2.30,
  "formation_enthalpy_0k_ev_per_atom": -0.146
}

[19]
{
  "formula": "CrGa3Ni",
  "functional": "GGA-PBE",
  "state": "relaxed",
  "cell": [[4.630, 0.000, 0.000], [0.000, 4.630, 0.000], [0.000, 0.000, 4.630]],
  "species": ["Ga", "Ga", "Ga", "Ni", "Cr"],
  "fractional_positions": [[0.500, 0.000, 0.000], [0.000, 0.500, 0.000], [0.000, 0.000, 0.500], [0.500, 0.500, 0.500], [0.000, 0.000, 0.000]],
  "e_above_lowest_polymorph_ev_per_atom": 0.480,
  "m_tot_mub_per_fu": 2.23,
  "formation_enthalpy_0k_ev_per_atom": 0.741
}

[20]
{
  "formula": "CrGa2Ni",
  "functional": "GGA-PBE",
  "state": "relaxed",
  "cell": [[-4.588, -3.303, 3.367], [3.406, 0.928, 5.552], [-1.900, 1.065, 4.886]],
  "species": ["Ga", "Ga", "Ga", "Ga", "Ni", "Ni", "Cr", "Cr"],
  "fractional_positions": [[0.375, 0.356, 0.750], [0.644, 0.125, 0.250], [0.875, 0.894, 0.750], [0.106, 0.625, 0.250], [0.750, 0.250, 0.500], [0.000, 0.000, 0.000], [0.250, 0.750, 0.500], [0.500, 0.500, 0.000]],
  "m_tot_mub_per_fu": 0.00,
  "formation_enthalpy_0k_ev_per_atom": 0.308
}